VASP calculation (GGA-PBE) on an optimized crystal structure of AcEu3Rh.

Cell: 5.694 5.694 5.694 Å, 90.00 90.00 90.00°
Space group Pm-3m (No. 221)
One atom of each set of equivalent atoms:
Ac  0.000  0.000  0.000 [1 per cell]
Eu  0.000  0.500  0.500 [3 per cell]
Rh  0.500  0.500  0.500 [1 per cell]

- Energy: -43.09 eV per cell
- Formation enthalpy at 0 K: -15.6 kJ per mole of atoms